(1)
In5Ga2Pb4: relaxed, GGA-PBE.

## Properties
- Calculated formation energy: 63 kJ/mol of formula units

abc: 4.135 7.922 9.536
angles: 95.47 90.00 90.00
Element x y z (fractional)
1 Pb 0.500 0.807 0.134
2 Pb 0.500 0.758 0.578
3 Pb 0.500 0.242 0.422
4 Pb 0.500 0.193 0.866
5 In 0.000 0.459 0.670
6 In 0.000 0.500 0.000
7 In 0.000 0.849 0.858
8 In 0.000 0.541 0.330
9 In 0.000 0.151 0.142
10 Ga 0.000 0.917 0.372
11 Ga 0.000 0.083 0.628

---

(2)
La2SiTc: relaxed, GGA-PBE.

## Properties
- Uncorrected formation energy: 0.212 eV/atom

abc: 8.958 8.958 8.958
angles: 23.92 23.92 23.92
Element x y z (fractional)
1 Tc 0.250 0.250 0.250
2 La 0.997 0.997 0.997
3 La 0.503 0.503 0.503
4 Si 0.750 0.750 0.750

---

(3)
Pm3Nd5Ir2: relaxed, GGA-PBE.

## Properties
- Calculated formation energy: -147 kJ/mol of formula units

abc: 7.026 10.254 10.254
angles: 78.71 69.96 69.96
Element x y z (fractional)
1 Pm 0.750 0.000 0.000
2 Pm 0.687 0.559 0.066
3 Pm 0.313 0.441 0.934
4 Pm 0.250 0.000 0.000
5 Pm 0.813 0.934 0.441
6 Pm 0.187 0.066 0.559
7 Nd 0.564 0.230 0.642
8 Nd 0.514 0.736 0.736
9 Nd 0.250 0.500 0.500
10 Nd 0.436 0.770 0.358
11 Nd 0.750 0.500 0.500
12 Nd 0.986 0.264 0.264
13 Nd 0.064 0.642 0.230
14 Nd 0.936 0.358 0.770
15 Nd 0.014 0.736 0.736
16 Nd 0.486 0.264 0.264
17 Ir 0.648 0.960 0.745
18 Ir 0.852 0.255 0.040
19 Ir 0.352 0.040 0.255
20 Ir 0.148 0.745 0.960

---

(4)
TiAl2CoHg: relaxed, GGA-PBE.

## Properties
- Calculated formation energy: 616 kJ/mol of formula units

abc: 4.937 5.118 4.937
angles: 90.00 90.00 90.00
Element x y z (fractional)
1 Co 0.500 0.500 0.500
2 Al 0.000 0.000 0.500
3 Al 0.500 0.000 0.000
4 Ti 0.000 0.000 0.000
5 Hg 0.000 0.500 0.000

---

(5)
PmZn2HRh2: relaxed, GGA-PBE.

## Properties
- Final energy: -28.27 eV/cell

abc: 4.158 4.158 5.273
angles: 90.00 90.00 90.00
Element x y z (fractional)
1 Zn 0.500 0.500 0.272
2 Zn 0.500 0.500 0.728
3 Pm 0.000 0.000 0.500
4 H 0.000 0.000 0.000
5 Rh 0.500 0.000 0.000
6 Rh 0.000 0.500 0.000

---

(6)
Ac2MgSbPt6: relaxed, GGA-PBE.

## Properties
- Uncorrected formation energy: -0.809 eV/atom

abc: 6.847 7.114 6.849
angles: 80.19 48.15 98.61
Element x y z (fractional)
1 Ac 0.758 0.302 0.456
2 Ac 0.242 0.698 0.544
3 Pt 0.745 0.248 0.001
4 Pt 0.249 0.248 0.496
5 Pt 0.255 0.752 0.999
6 Pt 0.751 0.752 0.504
7 Pt 0.256 0.105 0.151
8 Pt 0.744 0.895 0.849
9 Sb 0.000 0.000 0.000
10 Mg 0.500 0.500 0.000

---

(7)
Sm3CCl3: relaxed, GGA-PBE.

## Properties
- Uncorrected formation energy: -1.535 eV/atom
- Energy above the lowest structure with this stoichiometry: 0 meV/atom

abc: 9.507 9.507 9.507
angles: 109.47 109.47 109.47
Element x y z (fractional)
1 Cl 0.750 0.756 0.744
2 Cl 0.244 0.994 0.988
3 Cl 0.256 0.744 0.250
4 Cl 0.256 0.512 0.506
5 Cl 0.750 0.994 0.506
6 Cl 0.244 0.250 0.756
7 Cl 0.494 0.988 0.744
8 Cl 0.006 0.756 0.512
9 Cl 0.494 0.506 0.250
10 Cl 0.006 0.250 0.994
11 Cl 0.488 0.744 0.994
12 Cl 0.012 0.506 0.756
13 Sm 0.733 0.465 0.483
14 Sm 0.250 0.233 0.267
15 Sm 0.767 0.750 0.233
16 Sm 0.767 0.017 0.035
17 Sm 0.733 0.267 0.750
18 Sm 0.983 0.233 0.465
19 Sm 0.250 0.017 0.483
20 Sm 0.517 0.483 0.750
21 Sm 0.517 0.035 0.267
22 Sm 0.983 0.750 0.017
23 Sm 0.965 0.483 0.233
24 Sm 0.535 0.267 0.017
25 C 0.500 0.250 0.500
26 C 0.000 0.000 0.250
27 C 0.750 0.500 0.000
28 C 0.750 0.250 0.250

---

(8)
CePm5Au4: relaxed, GGA-PBE.

## Properties
- Calculated formation energy: -584 kJ/mol of formula units

abc: 3.686 3.686 19.444
angles: 90.00 90.00 90.00
Element x y z (fractional)
1 Pm 0.500 0.500 0.500
2 Pm 0.500 0.500 0.691
3 Pm 0.500 0.500 0.121
4 Pm 0.500 0.500 0.309
5 Pm 0.500 0.500 0.879
6 Au 0.000 0.000 0.214
7 Au 0.000 0.000 0.404
8 Au 0.000 0.000 0.596
9 Au 0.000 0.000 0.786
10 Ce 0.000 0.000 0.000

---

(9)
MnZnBr3: relaxed, GGA-PBE.

## Properties
- Uncorrected formation energy: -0.092 eV/atom
- Energy above the lowest structure with this stoichiometry: 187 meV/atom

abc: 5.194 5.194 5.194
angles: 90.00 90.00 90.00
Element x y z (fractional)
1 Br 0.000 0.500 0.000
2 Br 0.000 0.000 0.500
3 Br 0.500 0.000 0.000
4 Zn 0.000 0.000 0.000
5 Mn 0.500 0.500 0.500

---

(10)
Li3Ca2Al12Pd: relaxed, GGA-PBE.

## Properties
- Calculated formation energy: -80 kJ/mol of formula units

abc: 10.477 10.477 10.477
angles: 36.30 36.30 36.30
Element x y z (fractional)
1 Al 0.413 0.413 0.816
2 Al 0.088 0.629 0.088
3 Al 0.088 0.088 0.629
4 Al 0.912 0.371 0.912
5 Al 0.816 0.413 0.413
6 Al 0.413 0.816 0.413
7 Al 0.184 0.587 0.587
8 Al 0.587 0.184 0.587
9 Al 0.912 0.912 0.371
10 Al 0.629 0.088 0.088
11 Al 0.371 0.912 0.912
12 Al 0.587 0.587 0.184
13 Pd 0.000 0.000 0.000
14 Ca 0.642 0.642 0.642
15 Ca 0.358 0.358 0.358
16 Li 0.000 0.500 0.000
17 Li 0.000 0.000 0.500
18 Li 0.500 0.000 0.000

---

(11)
CdPW2: relaxed, GGA-PBE.

## Properties
- Energy above the lowest structure with this stoichiometry: 560 meV/atom
- Calculated formation energy: 314 kJ/mol of formula units

abc: 3.827 3.827 10.006
angles: 78.98 78.98 90.00
Element x y z (fractional)
1 P 0.250 0.750 0.500
2 P 0.500 0.500 0.000
3 Cd 0.750 0.250 0.500
4 Cd 0.000 0.000 0.000
5 W 0.875 0.852 0.750
6 W 0.375 0.398 0.750
7 W 0.148 0.625 0.250
8 W 0.602 0.125 0.250

---

(12)
LaMgPb: relaxed, GGA-PBE.

## Properties
- Calculated formation energy: -75 kJ/mol of formula units

abc: 5.207 5.207 5.207
angles: 60.00 60.00 60.00
Element x y z (fractional)
1 Mg 0.500 0.500 0.500
2 Pb 0.750 0.750 0.750
3 La 0.000 0.000 0.000